1.
{
  "formula": "SrSm4Cd5",
  "functional": "PBE-GGA",
  "state": "relaxed",
  "lattice_angstrom": [[3.850, 0.000, 0.000], [0.000, 3.850, 0.000], [0.000, 0.000, 19.392]],
  "species": ["Sr", "Sm", "Sm", "Sm", "Sm", "Cd", "Cd", "Cd", "Cd", "Cd"],
  "fractional_positions": [[0.000, 0.000, 0.000], [0.000, 0.000, 0.209], [0.000, 0.000, 0.403], [0.000, 0.000, 0.597], [0.000, 0.000, 0.791], [0.500, 0.500, 0.115], [0.500, 0.500, 0.306], [0.500, 0.500, 0.500], [0.500, 0.500, 0.694], [0.500, 0.500, 0.885]],
  "e_tot_ev_per_atom": -2.83,
  "formation_enthalpy_0k_ev_per_atom": -0.32,
  "magmom_total_mub_per_cell": 0.38
}

***

2.
{
  "formula": "Y2AlCo",
  "functional": "PBE-GGA",
  "state": "relaxed",
  "lattice_angstrom": [[5.604, 0.018, 0.000], [2.396, 5.066, 0.000], [-4.000, -2.542, 2.990]],
  "species": ["Y", "Y", "Co", "Al"],
  "fractional_positions": [[0.000, 0.000, 0.000], [0.250, 0.750, 0.500], [0.750, 0.250, 0.500], [0.500, 0.500, 0.000]],
  "e_tot_ev_per_atom": -5.96,
  "formation_enthalpy_0k_ev_per_atom": -0.01,
  "magmom_total_mub_per_cell": 0.51
}

***

3.
{
  "formula": "InFeB2Ru",
  "functional": "PBE-GGA",
  "state": "relaxed",
  "lattice_angstrom": [[4.153, 0.000, 0.000], [0.000, 5.121, 0.000], [0.000, 0.000, 4.153]],
  "species": ["Ru", "B", "B", "Fe", "In"],
  "fractional_positions": [[0.000, 0.500, 0.000], [0.000, 0.000, 0.500], [0.500, 0.000, 0.000], [0.500, 0.500, 0.500], [0.000, 0.000, 0.000]],
  "e_tot_ev_per_atom": -4.06,
  "formation_enthalpy_0k_ev_per_atom": 2.71,
  "magmom_total_mub_per_cell": 0.66
}